# Li2MnF4

An optimized crystal structure of Li2MnF4 (PBE+U, Alexandria via LeMat-Bulk).

Cell: 6.146 5.544 5.816 Å, 90.00 117.32 90.00°
Space group P2_1/c (No. 14)
Unique sites:
Li  0.043  0.218  0.448 (multiplicity 4)
Mn  0.500  0.000  0.500 (multiplicity 2)
F  0.114  0.602  0.856 (multiplicity 4)
F  0.377  0.210  0.158 (multiplicity 4)

The total moment comes out at 0.7143 μB/atom. As for the energy above the most stable polymorph in this dataset: 1.4 kJ per mole of atoms.

# LiMnF4

An optimized crystal structure of LiMnF4 (PBE+U, Alexandria via LeMat-Bulk).

Cell: 7.629 10.080 7.576 Å, 90.00 90.00 90.00°
Space group Pmn2_1 (No. 31)
Unique sites:
Li  0.000  0.204  0.000 (multiplicity 2)
Li  0.000  0.230  0.573 (multiplicity 2)
Li  0.000  0.709  0.758 (multiplicity 2)
Li  0.000  0.729  0.328 (multiplicity 2)
Mn  0.246  0.491  0.080 (multiplicity 4)
Mn  0.249  0.990  0.832 (multiplicity 4)
F  0.000  0.398  0.079 (multiplicity 2)
F  0.000  0.428  0.558 (multiplicity 2)
F  0.000  0.903  0.799 (multiplicity 2)
F  0.000  0.926  0.358 (multiplicity 2)
F  0.161  0.155  0.775 (multiplicity 4)
F  0.165  0.650  0.154 (multiplicity 4)
F  0.167  0.676  0.528 (multiplicity 4)
F  0.174  0.174  0.396 (multiplicity 4)
F  0.186  0.049  0.079 (multiplicity 4)
F  0.191  0.554  0.830 (multiplicity 4)

The total moment comes out at 0.6667 μB/atom. For the total energy, the calculation gives -5.401 eV/atom.

# LiMnF4

An optimized crystal structure of LiMnF4 (PBE+U, Alexandria via LeMat-Bulk).

Cell: 6.642 10.727 5.045 Å, 90.00 130.29 90.00°
Space group C2/c (No. 15)
Unique sites:
Li  0.000  0.088  0.250 (multiplicity 4)
Mn  0.000  0.339  0.750 (multiplicity 4)
F  0.180  0.211  0.703 (multiplicity 8)
F  0.233  0.454  0.800 (multiplicity 8)

The total moment comes out at 0.6667 μB/atom. For the total energy, the calculation gives -5.397 eV/atom.

# Li2MnF4

An optimized crystal structure of Li2MnF4 (PBE+U, Alexandria via LeMat-Bulk).

Cell: 5.946 5.746 10.439 Å, 90.00 104.09 90.00°
Space group P2_1/c (No. 14)
Unique sites:
Li  0.110  0.194  0.302 (multiplicity 4)
Li  0.191  0.605  0.556 (multiplicity 4)
Mn  0.388  0.122  0.620 (multiplicity 4)
F  0.130  0.191  0.974 (multiplicity 4)
F  0.138  0.014  0.716 (multiplicity 4)
F  0.347  0.042  0.225 (multiplicity 4)
F  0.367  0.683  0.996 (multiplicity 4)

The total moment comes out at 0.7143 μB/atom. As for the energy above the most stable polymorph in this dataset: 2.3 kJ per mole of atoms.

# Li2MnF4

An optimized crystal structure of Li2MnF4 (PBE+U, Alexandria via LeMat-Bulk).

Cell: 12.968 3.544 7.551 Å, 90.00 97.63 90.00°
Space group C2/m (No. 12)
Unique sites:
Li  0.061  0.000  0.251 (multiplicity 4)
Li  0.097  0.500  0.903 (multiplicity 4)
Mn  0.245  0.000  0.708 (multiplicity 4)
F  0.082  0.000  0.789 (multiplicity 4)
F  0.086  0.500  0.157 (multiplicity 4)
F  0.172  0.000  0.440 (multiplicity 4)
F  0.238  0.500  0.852 (multiplicity 4)

The total moment comes out at 0.7143 μB/atom. As for the energy above the most stable polymorph in this dataset: 3.5 kJ per mole of atoms.

# LiMnF4

An optimized crystal structure of LiMnF4 (PBE+U, Alexandria via LeMat-Bulk).

Cell: 4.699 9.848 7.754 Å, 90.00 124.65 90.00°
Space group P2_1/c (No. 14)
Unique sites:
Li  0.193  0.217  0.226 (multiplicity 4)
Mn  0.000  0.000  0.500 (multiplicity 2)
Mn  0.500  0.000  0.000 (multiplicity 2)
F  0.035  0.090  0.730 (multiplicity 4)
F  0.204  0.153  0.474 (multiplicity 4)
F  0.270  0.652  0.501 (multiplicity 4)
F  0.497  0.078  0.228 (multiplicity 4)

The total moment comes out at 0.6667 μB/atom. For the total energy, the calculation gives -5.427 eV/atom.

# LiMnF4

An optimized crystal structure of LiMnF4 (PBE+U, Alexandria via LeMat-Bulk).

Cell: 10.962 5.773 4.974 Å, 90.00 90.00 90.00°
Space group Pnma (No. 62)
Unique sites:
Li  0.073  0.250  0.116 (multiplicity 4)
Mn  0.241  0.750  0.064 (multiplicity 4)
F  0.096  0.750  0.879 (multiplicity 4)
F  0.114  0.250  0.747 (multiplicity 4)
F  0.180  0.021  0.287 (multiplicity 8)

The total moment comes out at 0.6667 μB/atom. For the total energy, the calculation gives -5.422 eV/atom.

# Li2MnF4

An optimized crystal structure of Li2MnF4 (PBE+U, Alexandria via LeMat-Bulk).

Cell: 6.069 12.350 8.564 Å, 90.00 90.00 90.00°
Space group Imma (No. 74)
Unique sites:
Li  0.000  0.000  0.000 (multiplicity 4)
Li  0.000  0.250  0.006 (multiplicity 4)
Li  0.250  0.137  0.250 (multiplicity 8)
Mn  0.000  0.113  0.624 (multiplicity 8)
F  0.000  0.018  0.240 (multiplicity 8)
F  0.000  0.250  0.239 (multiplicity 4)
F  0.000  0.250  0.760 (multiplicity 4)
F  0.227  0.124  0.008 (multiplicity 16)

The total moment comes out at 0.7143 μB/atom. As for the energy above the most stable polymorph in this dataset: 5.3 kJ per mole of atoms.

# Li2MnF4

An optimized crystal structure of Li2MnF4 (PBE+U, Alexandria via LeMat-Bulk).

Cell: 9.417 2.974 10.287 Å, 90.00 90.00 90.00°
Space group Pnma (No. 62)
Unique sites:
Li  0.058  0.250  0.121 (multiplicity 4)
Li  0.079  0.250  0.607 (multiplicity 4)
Mn  0.247  0.750  0.845 (multiplicity 4)
F  0.057  0.750  0.722 (multiplicity 4)
F  0.102  0.250  0.936 (multiplicity 4)
F  0.124  0.750  0.457 (multiplicity 4)
F  0.194  0.750  0.193 (multiplicity 4)

The total moment comes out at 0.7143 μB/atom. As for the energy above the most stable polymorph in this dataset: 4.6 kJ per mole of atoms.

# LiMnF4

An optimized crystal structure of LiMnF4 (PBE+U, Alexandria via LeMat-Bulk).

Cell: 5.354 5.447 6.165 Å, 115.64 112.85 92.48°
Space group P-1 (No. 2)
Unique sites:
Li  0.115  0.377  0.248 (multiplicity 2)
Mn  0.447  0.206  0.748 (multiplicity 2)
F  0.154  0.278  0.520 (multiplicity 2)
F  0.252  0.855  0.023 (multiplicity 2)
F  0.308  0.352  0.015 (multiplicity 2)
F  0.346  0.780  0.457 (multiplicity 2)

The total moment comes out at 0.6667 μB/atom. For the total energy, the calculation gives -5.399 eV/atom.

# Li2MnF6

An optimized crystal structure of Li2MnF6 (PBE+U, Alexandria via LeMat-Bulk).

Cell: 5.7724 5.7724 5.1195 Å, 90.00 90.00 120.00°
Space group P-3m1 (No. 164)
Unique sites:
Li  0.3333  0.6667  0.2188 (multiplicity 2)
Mn  0.0000  0.0000  0.0000 (multiplicity 1)
F  0.1508  0.3016  0.2071 (multiplicity 6)

The total moment comes out at 0.3583 μB/atom. As for the energy above the most stable polymorph in this dataset: 7.3 kJ per mole of atoms.

# Li2MnF4

An optimized crystal structure of Li2MnF4 (PBE+U, Alexandria via LeMat-Bulk).

Cell: 8.609 8.609 8.609 Å, 90.00 90.00 90.00°
Space group Fd-3m (No. 227, origin choice 2)
Unique sites:
Li  0.000  0.000  0.000 (multiplicity 16)
Mn  0.125  0.125  0.625 (multiplicity 8)
F  0.010  0.010  0.240 (multiplicity 32)

The total moment comes out at 0.7143 μB/atom. As for the energy above the most stable polymorph in this dataset: 3.1 kJ per mole of atoms.